1.
The following is a PBE-GGA calculation of a geometry-optimized Tb2AlS structure, from the Alexandria database.

Lattice parameters (Å, degrees): 3.969 22.575 4.166 90.00 90.00 90.00
Space group Cmcm (No. 63)
Inequivalent atoms, fractional coordinates:
Tb 0.000 0.074 0.250 [4 per cell]
Tb 0.000 0.315 0.250 [4 per cell]
Al 0.000 0.463 0.250 [4 per cell]
S 0.000 0.194 0.250 [4 per cell]

* crystal system: orthorhombic
* energy: -5.50 eV per atom
* total magnetization: 0.00 μB/cell
* ΔE_f (raw): -1.213 eV per atom
* energy relative to the lowest polymorph listed for this composition: 0 meV per atom

=====

2.
The following is a PBE-GGA calculation of a geometry-optimized Ta2Mn3Nb structure, from the Alexandria database.

Lattice parameters (Å, degrees): 3.065 3.065 9.190 90.00 90.00 90.00
Space group P4/mmm (No. 123)
Inequivalent atoms, fractional coordinates:
Ta 0.000 0.000 0.166 [2 per cell]
Mn 0.500 0.500 0.000 [1 per cell]
Mn 0.500 0.500 0.333 [2 per cell]
Nb 0.000 0.000 0.500 [1 per cell]

* crystal system: tetragonal
* calculated formation energy: -0.2032 eV/atom
* energy: -10.42 eV per atom
* total magnetization: 0.00 μB/cell

=====

3.
The following is a PBE-GGA calculation of a geometry-optimized LiSm2PdO5 structure, from the Alexandria database.

Lattice parameters (Å, degrees): 6.687 6.687 5.805 90.00 90.00 90.00
Space group P4/mbm (No. 127)
Inequivalent atoms, fractional coordinates:
Li 0.000 0.000 0.000 [2 per cell]
Sm 0.174 0.326 0.500 [4 per cell]
Pd 0.000 0.500 0.000 [2 per cell]
O 0.000 0.000 0.500 [2 per cell]
O 0.138 0.638 0.254 [8 per cell]

* crystal system: tetragonal
* energy: -6.74 eV per atom
* total magnetization: 2.08 μB/cell
* ΔE_f (raw): -2.150 eV per atom

=====

4.
The following is a PBE-GGA calculation of a geometry-optimized CsBaHg14 structure, from the Alexandria database.

Lattice parameters (Å, degrees): 11.220 11.701 15.820 90.00 90.00 90.00
Space group Imma (No. 74)
Inequivalent atoms, fractional coordinates:
Cs 0.000 0.250 0.109 [4 per cell]
Ba 0.000 0.000 0.500 [4 per cell]
Hg 0.128 0.250 0.788 [8 per cell]
Hg 0.132 0.013 0.293 [16 per cell]
Hg 0.145 0.250 0.589 [8 per cell]
Hg 0.146 0.250 0.386 [8 per cell]
Hg 0.147 0.049 0.912 [16 per cell]

* crystal system: orthorhombic
* calculated formation energy: -0.1646 eV/atom
* energy: -0.60 eV per atom
* total magnetization: 0.00 μB/cell

=====

Which value of total magnetization does entry 4 give? 0.00 μB/cell

=====

Which of these has the highest energy? CsBaHg14